Here is a relaxed structure of NiAuOF2 from Alexandria. Energies are from PBE+U.

POSCAR file:
```
NiAuOF2
1.0
4.515 0.000 0.000
0.000 3.789 0.000
0.000 0.000 4.515
Ni Au O F
1 1 1 2
Cartesian
2.258 1.895 2.258
0.000 1.895 0.000
0.000 0.000 0.000
0.000 0.000 2.258
2.258 0.000 0.000
```

total energy: -2.76 eV per atom
theoretical density: 6.66 g/cm³
total moment: 3.0 μB per cell
distance to the lowest polymorph of the same formula: 20.81 kcal/mol of atoms